No. 1
# AlCdB

An optimized crystal structure of AlCdB (PBE, Alexandria).

Output
calculated density: 5.096 g cm⁻³
formation enthalpy at 0 K: 0.229 eV/atom
DOS(E_F): 1.641 states/eV per cell

CIF file:
```
data_AlCdB
_cell_length_a 3.036
_cell_length_b 6.388
_cell_length_c 6.048
_cell_angle_alpha 120.04
_cell_angle_beta 90.03
_cell_angle_gamma 76.73
_space_group_name_H-M_alt 'P 1'
_space_group_IT_number 1
_space_group_name_Hall 'P 1'
loop_
_atom_site_label
_atom_site_type_symbol
_atom_site_fract_x
_atom_site_fract_y
_atom_site_fract_z
B1 B 0.433 0.513 0.715
B2 B 0.892 0.597 0.679
Al1 Al 0.944 0.492 0.976
Al2 Al 0.382 0.618 0.419
Cd1 Cd 0.665 0.041 0.432
Cd2 Cd 0.659 0.069 0.962
```



No. 2
# AlCdB

An optimized crystal structure of AlCdB (PBE, Alexandria).

Output
calculated density: 4.218 g cm⁻³
formation enthalpy at 0 K: 0.600 eV/atom
DOS(E_F): 2.021 states/eV per cell

CIF file:
```
data_AlCdB
_cell_length_a 4.131
_cell_length_b 4.131
_cell_length_c 8.003
_cell_angle_alpha 90.00
_cell_angle_beta 90.00
_cell_angle_gamma 120.00
_space_group_name_H-M_alt 'P 1'
_space_group_IT_number 1
_space_group_name_Hall 'P 1'
loop_
_atom_site_label
_atom_site_type_symbol
_atom_site_fract_x
_atom_site_fract_y
_atom_site_fract_z
B1 B 0.000 0.000 0.250
B2 B 0.000 0.000 0.750
Al1 Al 0.000 0.000 0.000
Al2 Al 0.000 0.000 0.500
Cd1 Cd 0.333 0.667 0.250
Cd2 Cd 0.667 0.333 0.750
```



No. 3
# AlCdB2

An optimized crystal structure of AlCdB2 (PBE, Alexandria).

Output
calculated density: 5.088 g cm⁻³
formation enthalpy at 0 K: 1.286 eV/atom
DOS(E_F): 2.932 states/eV per cell

CIF file:
```
data_AlCdB2
_cell_length_a 4.204
_cell_length_b 4.204
_cell_length_c 4.204
_cell_angle_alpha 60.00
_cell_angle_beta 60.00
_cell_angle_gamma 60.00
_space_group_name_H-M_alt 'P 1'
_space_group_IT_number 1
_space_group_name_Hall 'P 1'
loop_
_atom_site_label
_atom_site_type_symbol
_atom_site_fract_x
_atom_site_fract_y
_atom_site_fract_z
B1 B 0.250 0.250 0.250
B2 B 0.750 0.750 0.750
Al1 Al 0.000 0.000 0.000
Cd1 Cd 0.500 0.500 0.500
```



No. 4
# AlCdB

An optimized crystal structure of AlCdB (PBE, Alexandria).

Output
calculated density: 5.185 g cm⁻³
formation enthalpy at 0 K: 0.665 eV/atom
DOS(E_F): 2.214 states/eV per cell

CIF file:
```
data_AlCdB
_cell_length_a 4.005
_cell_length_b 4.005
_cell_length_c 5.998
_cell_angle_alpha 90.00
_cell_angle_beta 90.00
_cell_angle_gamma 90.00
_space_group_name_H-M_alt 'P 1'
_space_group_IT_number 1
_space_group_name_Hall 'P 1'
loop_
_atom_site_label
_atom_site_type_symbol
_atom_site_fract_x
_atom_site_fract_y
_atom_site_fract_z
B1 B 0.000 0.000 0.500
B2 B 0.500 0.500 0.500
Al1 Al 0.000 0.500 0.330
Al2 Al 0.500 0.000 0.670
Cd1 Cd 0.000 0.500 0.865
Cd2 Cd 0.500 0.000 0.135
```



No. 5
# AlCd3B

An optimized crystal structure of AlCd3B (PBE, Alexandria).

Output
calculated density: 4.541 g cm⁻³
formation enthalpy at 0 K: 1.266 eV/atom
DOS(E_F): 3.159 states/eV per cell

CIF file:
```
data_AlCd3B
_cell_length_a 5.157
_cell_length_b 5.157
_cell_length_c 5.157
_cell_angle_alpha 90.00
_cell_angle_beta 90.00
_cell_angle_gamma 90.00
_space_group_name_H-M_alt 'P 1'
_space_group_IT_number 1
_space_group_name_Hall 'P 1'
loop_
_atom_site_label
_atom_site_type_symbol
_atom_site_fract_x
_atom_site_fract_y
_atom_site_fract_z
B1 B 0.500 0.500 0.500
Al1 Al 0.000 0.000 0.000
Cd1 Cd 0.000 0.500 0.000
Cd2 Cd 0.000 0.000 0.500
Cd3 Cd 0.500 0.000 0.000
```



No. 6
# AlCdB

An optimized crystal structure of AlCdB (PBE, Alexandria).

Output
calculated density: 4.904 g cm⁻³
formation enthalpy at 0 K: 0.256 eV/atom
DOS(E_F): 1.418 states/eV per cell

CIF file:
```
data_AlCdB
_cell_length_a 3.393
_cell_length_b 6.135
_cell_length_c 5.359
_cell_angle_alpha 87.13
_cell_angle_beta 71.58
_cell_angle_gamma 74.12
_space_group_name_H-M_alt 'P 1'
_space_group_IT_number 1
_space_group_name_Hall 'P 1'
loop_
_atom_site_label
_atom_site_type_symbol
_atom_site_fract_x
_atom_site_fract_y
_atom_site_fract_z
B1 B 0.387 0.549 0.376
B2 B 0.572 0.490 0.062
Al1 Al 0.919 0.706 0.156
Al2 Al 0.740 0.560 0.659
Cd1 Cd 0.888 0.079 0.835
Cd2 Cd 0.584 0.143 0.385
```



No. 7
# AlCdB

An optimized crystal structure of AlCdB (PBE, Alexandria).

Output
calculated density: 5.114 g cm⁻³
formation enthalpy at 0 K: 0.216 eV/atom
DOS(E_F): 1.526 states/eV per cell

CIF file:
```
data_AlCdB
_cell_length_a 3.013
_cell_length_b 6.431
_cell_length_c 5.827
_cell_angle_alpha 59.74
_cell_angle_beta 89.99
_cell_angle_gamma 89.99
_space_group_name_H-M_alt 'P 1'
_space_group_IT_number 1
_space_group_name_Hall 'P 1'
loop_
_atom_site_label
_atom_site_type_symbol
_atom_site_fract_x
_atom_site_fract_y
_atom_site_fract_z
B1 B 0.450 0.149 0.478
B2 B 0.950 0.026 0.523
Al1 Al 0.450 0.773 0.799
Al2 Al 0.950 0.403 0.201
Cd1 Cd 0.949 0.838 0.239
Cd2 Cd 0.449 0.337 0.761
```



No. 8
# AlCdB

An optimized crystal structure of AlCdB (PBE, Alexandria).

Output
calculated density: 4.974 g cm⁻³
formation enthalpy at 0 K: 0.224 eV/atom
DOS(E_F): 1.688 states/eV per cell

CIF file:
```
data_AlCdB
_cell_length_a 3.028
_cell_length_b 5.839
_cell_length_c 6.131
_cell_angle_alpha 91.97
_cell_angle_beta 105.30
_cell_angle_gamma 73.77
_space_group_name_H-M_alt 'P 1'
_space_group_IT_number 1
_space_group_name_Hall 'P 1'
loop_
_atom_site_label
_atom_site_type_symbol
_atom_site_fract_x
_atom_site_fract_y
_atom_site_fract_z
B1 B 0.095 0.808 0.719
B2 B 0.515 0.908 0.676
Al1 Al 0.797 0.542 0.841
Al2 Al 0.813 0.174 0.553
Cd1 Cd 0.241 0.627 0.309
Cd2 Cd 0.368 0.089 0.086
```



No. 9
# AlCdB

An optimized crystal structure of AlCdB (PBE, Alexandria).

Output
calculated density: 5.167 g cm⁻³
formation enthalpy at 0 K: 0.221 eV/atom
DOS(E_F): 1.601 states/eV per cell

CIF file:
```
data_AlCdB
_cell_length_a 3.019
_cell_length_b 5.962
_cell_length_c 6.272
_cell_angle_alpha 62.42
_cell_angle_beta 103.23
_cell_angle_gamma 89.45
_space_group_name_H-M_alt 'P 1'
_space_group_IT_number 1
_space_group_name_Hall 'P 1'
loop_
_atom_site_label
_atom_site_type_symbol
_atom_site_fract_x
_atom_site_fract_y
_atom_site_fract_z
B1 B 0.644 0.200 0.789
B2 B 0.119 0.319 0.740
Al1 Al 0.099 0.978 0.687
Al2 Al 0.550 0.631 0.605
Cd1 Cd 0.362 0.175 0.200
Cd2 Cd 0.834 0.660 0.163
```



No. 10
# AlCd2B

An optimized crystal structure of AlCd2B (PBE, Alexandria).

Output
calculated density: 5.877 g cm⁻³
formation enthalpy at 0 K: 0.842 eV/atom
DOS(E_F): 3.151 states/eV per cell

CIF file:
```
data_AlCd2B
_cell_length_a 4.177
_cell_length_b 4.177
_cell_length_c 9.005
_cell_angle_alpha 76.59
_cell_angle_beta 76.59
_cell_angle_gamma 90.00
_space_group_name_H-M_alt 'P 1'
_space_group_IT_number 1
_space_group_name_Hall 'P 1'
loop_
_atom_site_label
_atom_site_type_symbol
_atom_site_fract_x
_atom_site_fract_y
_atom_site_fract_z
B1 B 0.500 0.500 0.000
B2 B 0.250 0.750 0.500
Al1 Al 0.000 0.000 0.000
Al2 Al 0.750 0.250 0.500
Cd1 Cd 0.600 0.125 0.250
Cd2 Cd 0.150 0.625 0.250
Cd3 Cd 0.375 0.400 0.750
Cd4 Cd 0.875 0.850 0.750
```



No. 11
# AlCdB

An optimized crystal structure of AlCdB (PBE, Alexandria).

Output
calculated density: 5.022 g cm⁻³
formation enthalpy at 0 K: 0.263 eV/atom
DOS(E_F): 1.184 states/eV per cell

CIF file:
```
data_AlCdB
_cell_length_a 4.217
_cell_length_b 4.101
_cell_length_c 6.217
_cell_angle_alpha 74.67
_cell_angle_beta 79.86
_cell_angle_gamma 74.58
_space_group_name_H-M_alt 'P 1'
_space_group_IT_number 1
_space_group_name_Hall 'P 1'
loop_
_atom_site_label
_atom_site_type_symbol
_atom_site_fract_x
_atom_site_fract_y
_atom_site_fract_z
B1 B 0.446 0.696 0.692
B2 B 0.115 0.020 0.702
Al1 Al 0.986 0.583 0.598
Al2 Al 0.574 0.133 0.797
Cd1 Cd 0.091 0.686 0.102
Cd2 Cd 0.469 0.031 0.293
```



No. 12
# Al2CdB

An optimized crystal structure of Al2CdB (PBE, Alexandria).

Output
calculated density: 4.558 g cm⁻³
formation enthalpy at 0 K: 0.852 eV/atom
DOS(E_F): 2.472 states/eV per cell

CIF file:
```
data_Al2CdB
_cell_length_a 4.503
_cell_length_b 4.503
_cell_length_c 4.503
_cell_angle_alpha 60.00
_cell_angle_beta 60.00
_cell_angle_gamma 60.00
_space_group_name_H-M_alt 'P 1'
_space_group_IT_number 1
_space_group_name_Hall 'P 1'
loop_
_atom_site_label
_atom_site_type_symbol
_atom_site_fract_x
_atom_site_fract_y
_atom_site_fract_z
B1 B 0.000 0.000 0.000
Al1 Al 0.250 0.250 0.250
Al2 Al 0.750 0.750 0.750
Cd1 Cd 0.500 0.500 0.500
```